VASP calculation (PBE-GGA) on an optimized crystal structure of Nb3Zn2Au2.

V: 17.4 Å³ per atom
symmetry: C2/m
E_form: 0.6 eV/f.u.
DFT total energy: -0.203 hartree per atom

Lattice parameters (Å, degrees): 4.550 4.550 7.293 89.88 108.25 120.09
Element x y z (fractional)
Nb 0.736 0.869 0.605
Nb 0.264 0.131 0.395
Nb 0.000 0.000 0.000
Zn 0.464 0.732 0.196
Zn 0.536 0.268 0.804
Au 0.812 0.406 0.217
Au 0.188 0.594 0.783

=====

VASP calculation (PBE-GGA) on an optimized crystal structure of NbZn4Au.

V: 15.8 Å³ per atom
symmetry: P6/mmm
E_form: -0.6 eV/f.u.
DFT total energy: -0.117 hartree per atom

Lattice parameters (Å, degrees): 4.276 4.276 5.969 90.00 90.00 120.00
Element x y z (fractional)
Nb 0.000 0.000 0.000
Zn 0.333 0.667 0.757
Zn 0.333 0.667 0.243
Zn 0.667 0.333 0.757
Zn 0.667 0.333 0.243
Au 0.000 0.000 0.500

=====

VASP calculation (PBE-GGA) on an optimized crystal structure of NbZnAu3.

V: 27.7 Å³ per atom
symmetry: Pm-3m
E_form: 4.8 eV/f.u.
DFT total energy: -0.120 hartree per atom
energy above the lowest structure with this stoichiometry: 257 meV per atom

Lattice parameters (Å, degrees): 5.176 5.176 5.176 90.00 90.00 90.00
Element x y z (fractional)
Nb 0.000 0.000 0.000
Au 0.000 0.000 0.500
Au 0.500 0.000 0.000
Au 0.000 0.500 0.000
Zn 0.500 0.500 0.500

=====

VASP calculation (PBE-GGA) on an optimized crystal structure of NbZn2Au2.

V: 16.9 Å³ per atom
symmetry: P4/mbm
E_form: 0.0 eV/f.u.
DFT total energy: -0.141 hartree per atom
energy above the lowest structure with this stoichiometry: 40 meV per atom

Lattice parameters (Å, degrees): 7.725 7.725 2.831 90.00 90.00 90.00
Element x y z (fractional)
Au 0.366 0.866 0.000
Au 0.634 0.134 0.000
Au 0.866 0.634 0.000
Au 0.134 0.366 0.000
Zn 0.333 0.167 0.500
Zn 0.833 0.333 0.500
Zn 0.167 0.667 0.500
Zn 0.667 0.833 0.500
Nb 0.000 0.000 0.000
Nb 0.500 0.500 0.000

=====

VASP calculation (PBE-GGA) on an optimized crystal structure of NbZn2Au3.

V: 16.8 Å³ per atom
symmetry: P4/mmm
E_form: -1.1 eV/f.u.
DFT total energy: -0.144 hartree per atom

Lattice parameters (Å, degrees): 2.990 2.990 11.272 90.00 90.00 90.00
Element x y z (fractional)
Au 0.000 0.000 0.323
Au 0.000 0.000 0.000
Au 0.000 0.000 0.677
Nb 0.500 0.500 0.500
Zn 0.500 0.500 0.162
Zn 0.500 0.500 0.838

=====

VASP calculation (PBE-GGA) on an optimized crystal structure of NbZn3Au2.

V: 16.2 Å³ per atom
symmetry: P4/mmm
E_form: -0.9 eV/f.u.
DFT total energy: -0.131 hartree per atom

Lattice parameters (Å, degrees): 2.963 2.963 11.101 90.00 90.00 90.00
Element x y z (fractional)
Zn 0.000 0.000 0.000
Zn 0.000 0.000 0.328
Zn 0.000 0.000 0.672
Nb 0.500 0.500 0.500
Au 0.500 0.500 0.836
Au 0.500 0.500 0.164